First-principles (PBE-GGA) data for a relaxed structure of FePtRh2, as listed in the Alexandria database.

Lattice parameters (Å, degrees): 9.0205 2.7344 4.7015 90.00 100.88 90.00
Space group Cm (No. 8)
One atom of each set of equivalent atoms:
Fe1 0.0000 0.0000 0.0000 [2 per cell]
Pt1 0.2481 0.5000 0.2410 [2 per cell]
Rh1 0.0029 0.5000 0.5089 [2 per cell]
Rh2 0.2537 0.0000 0.7448 [2 per cell]

Summary:
Magnetization (μB per formula unit): 4.0
Energy of formation (meV/atom): -56
E_tot (eV per cell): -58.860